(1)
Computed, not measured: a geometry-optimized ZrCrSCl2 structure at the GGA-PBEsol level of DFT.

Geometry as POSCAR:
```
ZrCrSCl2
1.0
4.526 0.000 0.000
0.000 4.526 0.000
0.000 0.000 4.784
Zr Cr S Cl
1 1 1 2
direct
0.000 0.000 0.000
0.500 0.500 0.500
0.500 0.500 0.000
0.000 0.500 0.500
0.500 0.000 0.500
```

Values from the calculation:
Volume: 98 Å³/cell
Final energy: -28.830 eV per cell
Size of the total moment: 5.6 μB per cell


(2)
Computed, not measured: a geometry-optimized CrSbCl structure at the GGA-PBEsol level of DFT.

Geometry as POSCAR:
```
CrSbCl
1.0
0.000 3.280 3.280
3.280 0.000 3.280
3.280 3.280 0.000
Cr Sb Cl
1 1 1
direct
0.000 0.000 0.000
0.500 0.500 0.500
0.750 0.750 0.750
```

Values from the calculation:
Volume: 71 Å³/cell
Final energy: -14.233 eV per cell
Size of the total moment: 3.9 μB per cell


(3)
Computed, not measured: a geometry-optimized CrSbTe2Cl structure at the GGA-PBEsol level of DFT.

Geometry as POSCAR:
```
CrSbTe2Cl
1.0
5.241 0.000 0.000
0.000 5.241 0.000
0.000 0.000 5.236
Cr Sb Te Cl
1 1 2 1
direct
0.000 0.000 0.000
0.500 0.500 0.000
0.000 0.500 0.500
0.500 0.000 0.500
0.500 0.500 0.500
```

Values from the calculation:
Volume: 144 Å³/cell
Final energy: -18.733 eV per cell
Size of the total moment: 3.8 μB per cell


(4)
Computed, not measured: a geometry-optimized ScCrCl2 structure at the GGA-PBEsol level of DFT.

Geometry as POSCAR:
```
ScCrCl2
1.0
3.032 0.000 0.000
0.000 3.032 0.000
0.000 0.000 7.691
Sc Cr Cl
1 1 2
direct
0.000 0.000 0.000
0.500 0.500 0.742
0.000 0.000 0.617
0.500 0.500 0.208
```

Values from the calculation:
Volume: 71 Å³/cell
Final energy: -23.410 eV per cell
Energy above the lowest structure with this stoichiometry: 61 meV per atom
Size of the total moment: 0.0 μB per cell


(5)
Computed, not measured: a geometry-optimized ScCrCl2 structure at the GGA-PBEsol level of DFT.

Geometry as POSCAR:
```
ScCrCl2
1.0
3.114 0.000 0.000
0.000 3.114 0.000
0.000 0.000 9.072
Sc Cr Cl
1 1 2
direct
0.000 0.000 0.000
0.000 0.000 0.500
0.500 0.500 0.166
0.500 0.500 0.834
```

Values from the calculation:
Volume: 88 Å³/cell
Final energy: -22.930 eV per cell
Energy above the lowest structure with this stoichiometry: 181 meV per atom
Size of the total moment: 5.1 μB per cell


(6)
Computed, not measured: a geometry-optimized Sc2CrCl structure at the GGA-PBEsol level of DFT.

Geometry as POSCAR:
```
Sc2CrCl
1.0
3.132 0.000 0.000
0.000 3.132 0.000
0.000 0.000 7.397
Sc Cr Cl
2 1 1
direct
0.000 0.000 0.219
0.000 0.000 0.781
0.500 0.500 0.000
0.500 0.500 0.500
```

Values from the calculation:
Volume: 73 Å³/cell
Final energy: -26.903 eV per cell
Size of the total moment: 1.7 μB per cell


(7)
Computed, not measured: a geometry-optimized ScCrCl2 structure at the GGA-PBEsol level of DFT.

Geometry as POSCAR:
```
ScCrCl2
1.0
3.474 0.000 0.000
0.000 1.755 6.114
0.000 -1.755 6.114
Sc Cr Cl
1 1 2
direct
0.000 0.000 0.000
0.500 0.363 0.363
0.000 0.226 0.226
0.500 0.557 0.557
```

Values from the calculation:
Volume: 75 Å³/cell
Final energy: -23.653 eV per cell
Energy above the lowest structure with this stoichiometry: 0 meV per atom
Size of the total moment: 3.0 μB per cell


(8)
Computed, not measured: a geometry-optimized ScCrCl2 structure at the GGA-PBEsol level of DFT.

Geometry as POSCAR:
```
ScCrCl2
1.0
1.647 0.951 8.303
-1.647 0.951 8.303
0.000 -1.902 8.303
Sc Cr Cl
1 1 2
direct
0.000 0.000 0.000
0.500 0.500 0.500
0.402 0.402 0.402
0.598 0.598 0.598
```

Values from the calculation:
Volume: 78 Å³/cell
Final energy: -23.591 eV per cell
Energy above the lowest structure with this stoichiometry: 15 meV per atom
Size of the total moment: 4.4 μB per cell


(9)
Computed, not measured: a geometry-optimized CrSe2Cl structure at the GGA-PBEsol level of DFT.

Geometry as POSCAR:
```
CrSe2Cl
1.0
2.834 0.000 0.000
0.000 2.834 0.000
0.000 0.000 9.335
Cr Se Cl
1 2 1
direct
0.000 0.000 0.000
0.000 0.000 0.495
0.500 0.500 0.160
0.500 0.500 0.844
```

Values from the calculation:
Volume: 75 Å³/cell
Final energy: -20.233 eV per cell
Energy above the lowest structure with this stoichiometry: 256 meV per atom
Size of the total moment: 0.0 μB per cell


(10)
Computed, not measured: a geometry-optimized CrSeCl structure at the GGA-PBEsol level of DFT.

Geometry as POSCAR:
```
CrSeCl
1.0
-1.545 1.545 6.002
1.545 -1.545 6.002
1.545 1.545 -6.002
Cr Se Cl
1 1 1
direct
0.000 0.000 0.000
0.613 0.613 0.000
0.365 0.365 0.000
```

Values from the calculation:
Volume: 57 Å³/cell
Final energy: -16.986 eV per cell
Size of the total moment: 2.9 μB per cell


(11)
Computed, not measured: a geometry-optimized CrSe2Cl structure at the GGA-PBEsol level of DFT.

Geometry as POSCAR:
```
CrSe2Cl
1.0
3.203 -1.866 0.000
3.203 1.866 0.000
-2.291 0.000 7.416
Cr Se Cl
1 2 1
direct
0.000 0.000 0.000
0.395 0.395 0.169
0.605 0.605 0.831
0.500 0.500 0.500
```

Values from the calculation:
Volume: 89 Å³/cell
Final energy: -21.259 eV per cell
Energy above the lowest structure with this stoichiometry: 0 meV per atom
Size of the total moment: 2.9 μB per cell


(12)
Computed, not measured: a geometry-optimized CrSeCl structure at the GGA-PBEsol level of DFT.

Geometry as POSCAR:
```
CrSeCl
1.0
3.480 0.000 0.000
-1.740 3.014 0.000
0.000 0.000 6.121
Cr Se Cl
1 1 1
direct
0.000 0.000 0.000
0.333 0.667 0.777
0.667 0.333 0.234
```

Values from the calculation:
Volume: 64 Å³/cell
Final energy: -18.338 eV per cell
Size of the total moment: 3.0 μB per cell


(13)
Computed, not measured: a geometry-optimized CrSeCl2 structure at the GGA-PBEsol level of DFT.

Geometry as POSCAR:
```
CrSeCl2
1.0
-1.501 2.538 5.744
1.501 -2.538 5.744
1.501 2.538 -5.744
Cr Se Cl
1 1 2
direct
0.000 0.000 0.000
0.500 0.500 0.000
0.155 0.655 0.500
0.845 0.345 0.500
```

Values from the calculation:
Volume: 88 Å³/cell
Final energy: -19.408 eV per cell
Energy above the lowest structure with this stoichiometry: 0 meV per atom
Size of the total moment: 3.0 μB per cell


(14)
Computed, not measured: a geometry-optimized CrSeCl2 structure at the GGA-PBEsol level of DFT.

Geometry as POSCAR:
```
CrSeCl2
1.0
4.339 0.000 0.000
0.000 4.339 0.000
0.000 0.000 3.995
Cr Se Cl
1 1 2
direct
0.000 0.000 0.000
0.500 0.500 0.000
0.000 0.500 0.500
0.500 0.000 0.500
```

Values from the calculation:
Volume: 75 Å³/cell
Final energy: -16.628 eV per cell
Energy above the lowest structure with this stoichiometry: 695 meV per atom
Size of the total moment: 3.8 μB per cell


(15)
Computed, not measured: a geometry-optimized CrSeCl3 structure at the GGA-PBEsol level of DFT.

Geometry as POSCAR:
```
CrSeCl3
1.0
4.757 0.000 0.000
0.000 4.757 0.000
0.000 0.000 4.757
Cr Se Cl
1 1 3
direct
0.000 0.000 0.000
0.500 0.500 0.500
0.000 0.000 0.500
0.000 0.500 0.000
0.500 0.000 0.000
```

Values from the calculation:
Volume: 108 Å³/cell
Final energy: -20.919 eV per cell
Size of the total moment: 5.9 μB per cell


(16)
Computed, not measured: a geometry-optimized CrSeCl structure at the GGA-PBEsol level of DFT.

Geometry as POSCAR:
```
CrSeCl
1.0
0.000 2.793 6.555
1.768 0.000 6.555
1.768 2.793 0.000
Cr Se Cl
1 1 1
direct
0.000 0.000 0.000
0.378 0.378 0.622
0.624 0.624 0.376
```

Values from the calculation:
Volume: 65 Å³/cell
Final energy: -17.172 eV per cell
Size of the total moment: 3.1 μB per cell


(17)
Computed, not measured: a geometry-optimized Cr2SeCl structure at the GGA-PBEsol level of DFT.

Geometry as POSCAR:
```
Cr2SeCl
1.0
3.515 0.000 0.000
0.000 3.512 0.000
-0.010 0.000 5.811
Cr Se Cl
2 1 1
direct
0.000 0.000 0.000
0.500 0.500 0.000
0.499 0.000 0.721
0.001 0.500 0.251
```

Values from the calculation:
Volume: 72 Å³/cell
Final energy: -26.866 eV per cell
Energy above the lowest structure with this stoichiometry: 0 meV per atom
Size of the total moment: 1.5 μB per cell


(18)
Computed, not measured: a geometry-optimized Cr2SeCl structure at the GGA-PBEsol level of DFT.

Geometry as POSCAR:
```
Cr2SeCl
1.0
3.256 0.000 0.000
0.000 3.256 0.000
0.000 0.000 6.655
Cr Se Cl
2 1 1
direct
0.000 0.000 0.226
0.000 0.000 0.774
0.500 0.500 0.000
0.500 0.500 0.500
```

Values from the calculation:
Volume: 71 Å³/cell
Final energy: -25.693 eV per cell
Energy above the lowest structure with this stoichiometry: 293 meV per atom
Size of the total moment: 8.7 μB per cell


(19)
Computed, not measured: a geometry-optimized Cr2SeCl structure at the GGA-PBEsol level of DFT.

Geometry as POSCAR:
```
Cr2SeCl
1.0
-1.722 1.757 6.387
1.722 -1.757 6.387
1.722 1.757 -6.387
Cr Se Cl
2 1 1
direct
0.000 0.000 0.000
0.724 0.224 0.500
0.156 0.656 0.500
0.405 0.405 0.000
```

Values from the calculation:
Volume: 77 Å³/cell
Final energy: -26.193 eV per cell
Energy above the lowest structure with this stoichiometry: 168 meV per atom
Size of the total moment: 9.0 μB per cell


(20)
Computed, not measured: a geometry-optimized Cr2SeCl structure at the GGA-PBEsol level of DFT.

Geometry as POSCAR:
```
Cr2SeCl
1.0
3.283 0.000 0.000
0.000 3.283 0.000
0.000 0.000 6.146
Cr Se Cl
2 1 1
direct
0.000 0.000 0.000
0.500 0.500 0.258
0.000 0.000 0.410
0.500 0.500 0.863
```

Values from the calculation:
Volume: 66 Å³/cell
Final energy: -26.459 eV per cell
Energy above the lowest structure with this stoichiometry: 102 meV per atom
Size of the total moment: 5.9 μB per cell


(21)
Computed, not measured: a geometry-optimized CrSeCl2 structure at the GGA-PBEsol level of DFT.

Geometry as POSCAR:
```
CrSeCl2
1.0
3.277 0.000 0.000
0.000 4.134 0.000
0.000 0.000 5.632
Cr Se Cl
1 1 2
direct
0.000 0.000 0.000
0.500 0.000 0.500
0.000 0.500 0.500
0.500 0.500 0.000
```

Values from the calculation:
Volume: 76 Å³/cell
Final energy: -17.738 eV per cell
Energy above the lowest structure with this stoichiometry: 418 meV per atom
Size of the total moment: 4.3 μB per cell


(22)
Computed, not measured: a geometry-optimized Cr3SeCl structure at the GGA-PBEsol level of DFT.

Geometry as POSCAR:
```
Cr3SeCl
1.0
4.938 0.000 0.000
0.000 4.938 0.000
0.000 0.000 4.938
Cr Se Cl
3 1 1
direct
0.000 0.000 0.500
0.000 0.500 0.000
0.500 0.000 0.000
0.000 0.000 0.000
0.500 0.500 0.500
```

Values from the calculation:
Volume: 120 Å³/cell
Final energy: -32.591 eV per cell
Size of the total moment: 14.8 μB per cell


(23)
Computed, not measured: a geometry-optimized Cr2SiCl2 structure at the GGA-PBEsol level of DFT.

Geometry as POSCAR:
```
Cr2SiCl2
1.0
-1.988 1.988 5.667
1.988 -1.988 5.667
1.988 1.988 -5.667
Cr Si Cl
2 1 2
direct
0.118 0.118 0.000
0.882 0.882 0.000
0.500 0.500 0.000
0.250 0.750 0.500
0.750 0.250 0.500
```

Values from the calculation:
Volume: 90 Å³/cell
Final energy: -27.839 eV per cell
Size of the total moment: 7.1 μB per cell


(24)
Computed, not measured: a geometry-optimized CrSi2Cl structure at the GGA-PBEsol level of DFT.

Geometry as POSCAR:
```
CrSi2Cl
1.0
-1.326 2.430 4.687
1.326 -2.430 4.687
1.326 2.430 -4.687
Cr Si Cl
1 2 1
direct
0.000 0.000 0.000
0.217 0.717 0.500
0.471 0.471 0.000
0.802 0.302 0.500
```

Values from the calculation:
Volume: 60 Å³/cell
Final energy: -22.526 eV per cell
Size of the total moment: 1.2 μB per cell


(25)
Computed, not measured: a geometry-optimized CrSiCl4 structure at the GGA-PBEsol level of DFT.

Geometry as POSCAR:
```
CrSiCl4
1.0
0.000 4.014 4.014
4.014 0.000 4.014
4.014 4.014 0.000
Cr Si Cl
1 1 4
direct
0.000 0.000 0.000
0.750 0.750 0.750
0.374 0.374 0.374
0.374 0.374 0.877
0.374 0.877 0.374
0.877 0.374 0.374
```

Values from the calculation:
Volume: 129 Å³/cell
Final energy: -18.635 eV per cell
Size of the total moment: 6.4 μB per cell


(26)
Computed, not measured: a geometry-optimized CrSiCl structure at the GGA-PBEsol level of DFT.

Geometry as POSCAR:
```
CrSiCl
1.0
0.000 2.971 2.971
2.971 0.000 2.971
2.971 2.971 0.000
Cr Si Cl
1 1 1
direct
0.000 0.000 0.000
0.500 0.500 0.500
0.750 0.750 0.750
```

Values from the calculation:
Volume: 52 Å³/cell
Final energy: -14.851 eV per cell
Size of the total moment: 3.3 μB per cell


(27)
Computed, not measured: a geometry-optimized CrSiCl2 structure at the GGA-PBEsol level of DFT.

Geometry as POSCAR:
```
CrSiCl2
1.0
0.000 3.272 3.272
3.272 0.000 3.272
3.272 3.272 0.000
Cr Si Cl
1 1 2
direct
0.000 0.000 0.000
0.500 0.500 0.500
0.250 0.250 0.250
0.750 0.750 0.750
```

Values from the calculation:
Volume: 70 Å³/cell
Final energy: -18.594 eV per cell
Size of the total moment: 4.4 μB per cell


(28)
Computed, not measured: a geometry-optimized CrSnW2Cl structure at the GGA-PBEsol level of DFT.

Geometry as POSCAR:
```
CrSnW2Cl
1.0
4.510 0.000 0.000
0.000 4.510 0.000
0.000 0.000 4.923
Cr Sn W Cl
1 1 2 1
direct
0.000 0.000 0.000
0.000 0.000 0.500
0.000 0.500 0.000
0.500 0.000 0.000
0.500 0.500 0.500
```

Values from the calculation:
Volume: 100 Å³/cell
Final energy: -36.519 eV per cell
Size of the total moment: 0.0 μB per cell


(29)
Computed, not measured: a geometry-optimized CrSnWCl2 structure at the GGA-PBEsol level of DFT.

Geometry as POSCAR:
```
CrSnWCl2
1.0
5.238 0.000 0.000
0.000 5.238 0.000
0.000 0.000 5.413
Cr Sn W Cl
1 1 1 2
direct
0.000 0.000 0.000
0.000 0.000 0.500
0.500 0.500 0.000
0.000 0.500 0.500
0.500 0.000 0.500
```

Values from the calculation:
Volume: 148 Å³/cell
Final energy: -23.888 eV per cell
Size of the total moment: 10.2 μB per cell


(30)
Computed, not measured: a geometry-optimized SrCr2Cl structure at the GGA-PBEsol level of DFT.

Geometry as POSCAR:
```
SrCr2Cl
1.0
-2.034 2.034 6.025
2.034 -2.034 6.025
2.034 2.034 -6.025
Sr Cr Cl
1 2 1
direct
0.000 0.000 0.000
0.250 0.750 0.500
0.750 0.250 0.500
0.500 0.500 0.000
```

Values from the calculation:
Volume: 100 Å³/cell
Final energy: -22.655 eV per cell
Energy above the lowest structure with this stoichiometry: 0 meV per atom
Size of the total moment: 9.2 μB per cell


(31)
Computed, not measured: a geometry-optimized SrCr2Cl structure at the GGA-PBEsol level of DFT.

Geometry as POSCAR:
```
SrCr2Cl
1.0
3.674 0.000 0.000
0.000 4.506 0.000
0.000 0.000 6.082
Sr Cr Cl
1 2 1
direct
0.000 0.000 0.000
0.000 0.500 0.500
0.500 0.000 0.500
0.500 0.500 0.000
```

Values from the calculation:
Volume: 101 Å³/cell
Final energy: -22.547 eV per cell
Energy above the lowest structure with this stoichiometry: 27 meV per atom
Size of the total moment: 9.5 μB per cell